# CaCoP2F | Alexandria via LeMat-Bulk | GGA+U | relaxed
data_CaCoP2F
_chemical_formula_sum 'Ca1 Co1 P2 F1'
_cell_length_a 4.782
_cell_length_b 3.998
_cell_length_c 4.782
_cell_angle_alpha 90.00
_cell_angle_beta 90.00
_cell_angle_gamma 90.00
_space_group_name_H-M_alt 'P 1'
_space_group_IT_number 1
_space_group_name_Hall 'P 1'
loop_
_atom_site_label
_atom_site_type_symbol
_atom_site_fract_x
_atom_site_fract_y
_atom_site_fract_z
F1 F 0.000 0.000 0.000
P1 P 0.500 0.000 0.000
P2 P 0.000 0.000 0.500
Ca1 Ca 0.500 0.500 0.500
Co1 Co 0.000 0.500 0.000
# * crystal system: tetragonal
# * total DFT energy (no corrections): -4.00 eV per atom
# * theoretical density: 3268 kg/m³